1.
This record from Alexandria describes NaHg6Au after structural relaxation. The functional is GGA-PBE.

a = 6.0746 Å, b = 6.5226 Å, c = 6.5226 Å
α = 52.79°, β = 89.15°, γ = 90.85°
Fractional positions:
Hg: 0.7564 0.0079 0.6169
Hg: 0.2428 0.0335 0.4249
Hg: 0.2477 0.4678 0.5735
Hg: 0.7572 0.4249 0.0335
Hg: 0.2436 0.6169 0.0079
Hg: 0.7523 0.5735 0.4678
Au: 0.0000 0.0206 0.0206
Na: 0.5000 0.0210 0.0210

**VASP energy**: -0.861 eV/atom
**E_form**: -0.06 eV per atom
**Space group**: C2/m

2.
This record from Alexandria describes Ti3Si2Ge after structural relaxation. The functional is GGA-PBE.

a = 3.7104 Å, b = 9.7124 Å, c = 10.4423 Å
α = 90.00°, β = 90.00°, γ = 90.00°
Fractional positions:
Ti: 0.2500 0.0699 0.8778
Ti: 0.2500 0.7077 0.2185
Ti: 0.7500 0.5699 0.6222
Ti: 0.7500 0.9301 0.1222
Ti: 0.7500 0.2923 0.7815
Ti: 0.2500 0.4301 0.3778
Ti: 0.2500 0.3844 0.0396
Ti: 0.7500 0.6156 0.9604
Ti: 0.2500 0.7923 0.7185
Ti: 0.7500 0.2077 0.2815
Ti: 0.2500 0.1156 0.5396
Ti: 0.7500 0.8844 0.4604
Si: 0.2500 0.7961 0.9964
Si: 0.7500 0.0204 0.6853
Si: 0.7500 0.4796 0.1853
Si: 0.7500 0.2961 0.5036
Si: 0.2500 0.7039 0.4964
Si: 0.2500 0.5204 0.8147
Si: 0.2500 0.9796 0.3147
Si: 0.7500 0.2039 0.0036
Ge: 0.2500 0.3755 0.6283
Ge: 0.2500 0.1245 0.1283
Ge: 0.7500 0.8755 0.8717
Ge: 0.7500 0.6245 0.3717

**Uncorrected formation energy**: -286 kJ/mol of formula units
**VASP energy**: -7.019 eV/atom
**Space group**: Pnma

3.
This record from Alexandria describes BaMnCl4 after structural relaxation. The functional is GGA-PBE.

a = 6.1554 Å, b = 6.1554 Å, c = 6.1554 Å
α = 60.00°, β = 60.00°, γ = 60.00°
Fractional positions:
Cl: 0.3751 0.3751 0.3751
Cl: 0.8748 0.3751 0.3751
Cl: 0.3751 0.3751 0.8748
Cl: 0.3751 0.8748 0.3751
Mn: 0.7500 0.7500 0.7500
Ba: 0.0000 0.0000 0.0000

**Uncorrected formation energy**: -229 kJ/mol of formula units
**VASP energy**: -3.476 eV/atom
**Space group**: F-43m

4.
This record from Alexandria describes CsBa2C2 after structural relaxation. The functional is GGA-PBE.

a = 8.7161 Å, b = 8.7161 Å, c = 3.5419 Å
α = 90.00°, β = 90.00°, γ = 90.00°
Fractional positions:
Ba: 0.1378 0.3622 0.0000
Ba: 0.6378 0.1378 0.0000
Ba: 0.3622 0.8622 0.0000
Ba: 0.8622 0.6378 0.0000
C: 0.6605 0.8395 0.5000
C: 0.8395 0.3395 0.5000
C: 0.3395 0.1605 0.5000
C: 0.1605 0.6605 0.5000
Cs: 0.5000 0.5000 0.0000
Cs: 0.0000 0.0000 0.0000

**VASP energy**: -3.282 eV/atom
**E_form**: 1.35 eV per atom
**Space group**: P4/mbm

5.
This record from Alexandria describes PrIBr after structural relaxation. The functional is GGA-PBE.

a = 5.3496 Å, b = 5.3496 Å, c = 5.3496 Å
α = 60.00°, β = 60.00°, γ = 60.00°
Fractional positions:
Pr: 0.2500 0.2500 0.2500
I: 0.0000 0.0000 0.0000
Br: 0.5000 0.5000 0.5000

**Uncorrected formation energy**: -363 kJ/mol of formula units
**VASP energy**: -3.920 eV/atom
**Space group**: F-43m

6.
This record from Alexandria describes MgSnPb2S5 after structural relaxation. The functional is GGA-PBE.

a = 3.8947 Å, b = 9.3268 Å, c = 12.7432 Å
α = 90.00°, β = 90.00°, γ = 102.05°
Fractional positions:
Pb: 0.1409 0.2819 0.3212
Pb: 0.8526 0.7053 0.1641
Pb: 0.1474 0.2947 0.6641
Pb: 0.8591 0.7181 0.8212
S: 0.5232 0.0464 0.2740
S: 0.7017 0.4034 0.1668
S: 0.3202 0.6405 0.3871
S: 0.4768 0.9536 0.7740
S: 0.3390 0.6780 0.0105
S: 0.9615 0.9229 0.5458
S: 0.6798 0.3595 0.8871
S: 0.2983 0.5966 0.6668
S: 0.0385 0.0771 0.0458
S: 0.6610 0.3220 0.5105
Sn: 0.5506 0.1011 0.9265
Sn: 0.4494 0.8989 0.4265
Mg: 0.7987 0.5975 0.5281
Mg: 0.2013 0.4025 0.0281

**Uncorrected formation energy**: -559 kJ/mol of formula units
**VASP energy**: -4.382 eV/atom
**Space group**: Cmc2_1

7.
This record from Alexandria describes MgZr2Se after structural relaxation. The functional is GGA-PBE.

a = 4.9534 Å, b = 4.9534 Å, c = 3.3355 Å
α = 90.00°, β = 90.00°, γ = 90.00°
Fractional positions:
Mg: 0.5000 0.0000 0.5000
Zr: 0.5000 0.5000 0.0000
Zr: 0.0000 0.0000 0.0000
Se: 0.0000 0.5000 0.5000

**Uncorrected formation energy**: -100 kJ/mol of formula units
**VASP energy**: -5.802 eV/atom
**Space group**: P4/mmm

8.
This record from Alexandria describes MgZnCoNi after structural relaxation. The functional is GGA-PBE.

a = 4.1619 Å, b = 4.1619 Å, c = 4.1619 Å
α = 60.00°, β = 60.00°, γ = 60.00°
Fractional positions:
Co: 0.7500 0.7500 0.7500
Mg: 0.0000 0.0000 0.0000
Ni: 0.2500 0.2500 0.2500
Zn: 0.5000 0.5000 0.5000

**VASP energy**: -3.992 eV/atom
**E_form**: -0.05 eV per atom
**Space group**: F-43m

9.
This record from Alexandria describes Zr2Sc2Pb after structural relaxation. The functional is GGA-PBE.

a = 7.7230 Å, b = 7.7230 Å, c = 4.0959 Å
α = 90.00°, β = 90.00°, γ = 90.00°
Fractional positions:
Zr: 0.3630 0.8630 0.0000
Zr: 0.6370 0.1370 0.0000
Zr: 0.8630 0.6370 0.0000
Zr: 0.1370 0.3630 0.0000
Sc: 0.3410 0.1590 0.5000
Sc: 0.6590 0.8410 0.5000
Sc: 0.1590 0.6590 0.5000
Sc: 0.8410 0.3410 0.5000
Pb: 0.0000 0.0000 0.0000
Pb: 0.5000 0.5000 0.0000

**VASP energy**: -6.706 eV/atom
**E_form**: -0.01 eV per atom
**Space group**: P4/mbm

10.
This record from Alexandria describes Sm3HgPt8 after structural relaxation. The functional is GGA-PBE.

a = 5.4628 Å, b = 5.4628 Å, c = 9.4762 Å
α = 73.25°, β = 73.25°, γ = 60.00°
Fractional positions:
Pt: 0.4372 0.9430 0.1826
Pt: 0.9370 0.4349 0.6911
Pt: 0.9370 0.9370 0.6911
Pt: 0.4372 0.4372 0.1826
Pt: 0.6879 0.6879 0.9364
Pt: 0.4349 0.9370 0.6911
Pt: 0.1878 0.1878 0.4365
Pt: 0.9430 0.4372 0.1826
Hg: 0.8711 0.8711 0.3867
Sm: 0.9921 0.9921 0.0236
Sm: 0.5069 0.5069 0.4792
Sm: 0.3779 0.3779 0.8664

**VASP energy**: -6.178 eV/atom
**E_form**: -0.95 eV per atom
**Space group**: R3m

11.
This record from Alexandria describes HoMgCoIr after structural relaxation. The functional is GGA-PBE.

a = 4.5762 Å, b = 4.5762 Å, c = 4.5762 Å
α = 60.00°, β = 60.00°, γ = 60.00°
Fractional positions:
Ho: 0.7500 0.7500 0.7500
Mg: 0.2500 0.2500 0.2500
Ir: 0.0000 0.0000 0.0000
Co: 0.5000 0.5000 0.5000

**VASP energy**: -5.836 eV/atom
**E_form**: -0.30 eV per atom
**Space group**: F-43m

12.
This record from Alexandria describes NbCrSe4 after structural relaxation. The functional is GGA-PBE.

a = 3.4929 Å, b = 5.9588 Å, c = 7.2970 Å
α = 105.70°, β = 90.00°, γ = 90.00°
Fractional positions:
Se: 0.5000 0.7550 0.7323
Se: 0.0000 0.7715 0.2764
Se: 0.5000 0.2450 0.2677
Se: 0.0000 0.2285 0.7236
Nb: 0.0000 0.5000 0.5000
Cr: 0.5000 0.0000 0.5000

**Uncorrected formation energy**: -376 kJ/mol of formula units
**VASP energy**: -6.255 eV/atom
**Space group**: P2/m